[1]
An optimized crystal structure of YIn2Rh2, computed with PBE.

The value obtained for the energy of formation is -0.524 eV per atom. Its total moment is 0.000 Bohr magnetons per cell. Its offset from the most stable computed form is 11.1 kJ/mol of formula units. The volume comes out at 99 Å³/f.u. The crystal system is tetragonal.

The space group is P4/mbm (No. 127) and the conventional cell measures 7.4282, 7.4282 and 3.6060 Å, with angles of 90.00, 90.00 and 90.00 degrees. The asymmetric unit holds Y at (0.0000, 0.0000, 0.0000), In at (0.1529, 0.3471, 0.5000) and Rh at (0.1412, 0.6412, 0.0000).

***

[2]
An optimized crystal structure of YInRh, computed with PBE.

The value obtained for the energy of formation is -0.757 eV per atom. Its total moment is 0.000 Bohr magnetons per cell. The volume comes out at 65 Å³/f.u. The crystal system is hexagonal.

The space group is P-62m (No. 189) and the conventional cell measures 7.5626, 7.5626 and 3.9072 Å, with angles of 90.00, 90.00 and 120.00 degrees. The asymmetric unit holds Y at (0.0000, 0.5950, 0.0000), In at (0.0000, 0.2579, 0.5000), Rh at (0.0000, 0.0000, 0.0000) and Rh at (0.3333, 0.6667, 0.5000).

***

[3]
An optimized crystal structure of Y3InRh, computed with PBE.

The value obtained for the energy of formation is -0.516 eV per atom. Its total moment is 0.000 Bohr magnetons per cell. Its offset from the most stable computed form is 0.0 kJ/mol of formula units. The volume comes out at 135 Å³/f.u. The crystal system is monoclinic.

The space group is C2/m (No. 12) and the conventional cell measures 14.8374, 4.8369 and 9.3092 Å, with angles of 90.00, 126.26 and 90.00 degrees. The asymmetric unit holds Y at (0.0967, 0.0000, 0.4415), Y at (0.1320, 0.5000, 0.2122), Y at (0.1379, 0.5000, 0.7861), In at (0.0926, 0.0000, 0.9702) and Rh at (0.2271, 0.5000, 0.5957).

***

[4]
An optimized crystal structure of YIn3Rh, computed with PBE.

The value obtained for the energy of formation is 1.258 eV per atom. Its total moment is 0.284 Bohr magnetons per cell. Its offset from the most stable computed form is 814.2 kJ/mol of formula units. The volume comes out at 185 Å³/f.u. The crystal system is cubic.

The space group is Pm-3m (No. 221) and the conventional cell measures 5.7023, 5.7023 and 5.7023 Å, with angles of 90.00, 90.00 and 90.00 degrees. The asymmetric unit holds Y at (0.0000, 0.0000, 0.0000), In at (0.0000, 0.0000, 0.5000) and Rh at (0.5000, 0.5000, 0.5000).

***

[5]
An optimized crystal structure of Y6InRh5, computed with PBE.

The value obtained for the energy of formation is -0.744 eV per atom. Its total moment is 0.000 Bohr magnetons per cell. The volume comes out at 256 Å³/f.u. The crystal system is monoclinic.

The space group is C2/m (No. 12) and the conventional cell measures 15.4427, 7.1656 and 4.8742 Å, with angles of 90.00, 108.32 and 90.00 degrees. The asymmetric unit holds Y at (0.0000, 0.2322, 0.0000), Y at (0.1721, 0.2414, 0.6722), In at (0.0000, 0.5000, 0.5000), Rh at (0.0000, 0.0000, 0.5000), Rh at (0.1616, 0.5000, 0.1607) and Rh at (0.1686, 0.0000, 0.1688).

***

[6]
An optimized crystal structure of YInRh, computed with PBE.

The value obtained for the energy of formation is -0.578 eV per atom. Its total moment is 0.000 Bohr magnetons per cell. The volume comes out at 64 Å³/f.u. The crystal system is tetragonal.

The space group is I4mm (No. 107) and the conventional cell measures 3.4065, 3.4065 and 11.0337 Å, with angles of 90.00, 90.00 and 90.00 degrees. The asymmetric unit holds Y at (0.0000, 0.0000, 0.0000), In at (0.0000, 0.0000, 0.7089) and Rh at (0.0000, 0.0000, 0.3451).

***

[7]
An optimized crystal structure of YIn4Rh2, computed with PBE.

The value obtained for the energy of formation is -0.472 eV per atom. Its total moment is 0.000 Bohr magnetons per cell. The volume comes out at 148 Å³/f.u. The crystal system is orthorhombic.

The space group is Pnma (No. 62) and the conventional cell measures 18.3913, 4.4836 and 7.1996 Å, with angles of 90.00, 90.00 and 90.00 degrees. The asymmetric unit holds Y at (0.1407, 0.2500, 0.0378), In at (0.0344, 0.7500, 0.8566), In at (0.0700, 0.2500, 0.4994), In at (0.1865, 0.7500, 0.3317), In at (0.1915, 0.7500, 0.7462), Rh at (0.0413, 0.7500, 0.2446) and Rh at (0.2177, 0.2500, 0.5420).

***

[8]
An optimized crystal structure of Y3InRh, computed with PBE.

The value obtained for the energy of formation is -0.479 eV per atom. Its total moment is 0.000 Bohr magnetons per cell. Its offset from the most stable computed form is 18.3 kJ/mol of formula units. The volume comes out at 139 Å³/f.u. The crystal system is monoclinic.

The space group is C2/c (No. 15) and the conventional cell measures 13.9942, 11.1671 and 7.1257 Å, with angles of 90.00, 90.03 and 90.00 degrees. The asymmetric unit holds Y at (0.1120, 0.0683, 0.3997), Y at (0.1117, 0.4312, 0.6004), Y at (0.2504, 0.1898, 0.7782), In at (0.0000, 0.1929, 0.7500), In at (0.0000, 0.3066, 0.2500) and Rh at (0.2502, 0.0552, 0.1158).

***

[9]
An optimized crystal structure of Y2InRh2, computed with PBE.

The value obtained for the energy of formation is -0.539 eV per atom. Its total moment is 0.000 Bohr magnetons per cell. The volume comes out at 118 Å³/f.u. The crystal system is tetragonal.

The space group is I4/mmm (No. 139) and the conventional cell measures 5.4047, 5.4047 and 8.0566 Å, with angles of 90.00, 90.00 and 90.00 degrees. The asymmetric unit holds Y at (0.0000, 0.5000, 0.2500), In at (0.0000, 0.0000, 0.0000) and Rh at (0.0000, 0.0000, 0.3344).

***

[10]
An optimized crystal structure of YIn4Rh5, computed with PBE.

The value obtained for the energy of formation is -0.508 eV per atom. Its total moment is 0.000 Bohr magnetons per cell. The volume comes out at 176 Å³/f.u. The crystal system is tetragonal.

The space group is P4/mmm (No. 123) and the conventional cell measures 3.3142, 3.3142 and 16.0051 Å, with angles of 90.00, 90.00 and 90.00 degrees. The asymmetric unit holds Y at (0.0000, 0.0000, 0.0000), In at (0.0000, 0.0000, 0.2053), In at (0.0000, 0.0000, 0.4017), Rh at (0.5000, 0.5000, 0.1089), Rh at (0.5000, 0.5000, 0.3041) and Rh at (0.5000, 0.5000, 0.5000).

***

[11]
An optimized crystal structure of Y2InRh, computed with PBE.

The value obtained for the energy of formation is -0.592 eV per atom. Its total moment is 0.000 Bohr magnetons per cell. The volume comes out at 100 Å³/f.u. The crystal system is orthorhombic.

The space group is Amm2 (No. 38) and the conventional cell measures 3.8561, 4.4752 and 11.5739 Å, with angles of 90.00, 90.00 and 90.00 degrees. The asymmetric unit holds Y at (0.0000, 0.0000, 0.0000), Y at (0.5000, 0.0000, 0.3007), In at (0.0000, 0.0000, 0.7069) and Rh at (0.5000, 0.0000, 0.5364).

***

[12]
An optimized crystal structure of Y2InRh, computed with PBE.

The value obtained for the energy of formation is -0.444 eV per atom. Its total moment is 0.000 Bohr magnetons per cell. The volume comes out at 87 Å³/f.u. The crystal system is cubic.

The space group is F-43m (No. 216) and the conventional cell measures 7.0368, 7.0368 and 7.0368 Å, with angles of 90.00, 90.00 and 90.00 degrees. The asymmetric unit holds Y at (0.0000, 0.0000, 0.0000), Y at (0.2500, 0.2500, 0.2500), In at (0.2500, 0.2500, 0.7500) and Rh at (0.0000, 0.0000, 0.5000).

***

[13]
An optimized crystal structure of Y5InRh2, computed with PBE.

The value obtained for the energy of formation is -0.620 eV per atom. Its total moment is 0.602 Bohr magnetons per cell. The volume comes out at 206 Å³/f.u. The crystal system is tetragonal.

The space group is I4/mcm (No. 140) and the conventional cell measures 7.7861, 7.7861 and 13.6161 Å, with angles of 90.00, 90.00 and 90.00 degrees. The asymmetric unit holds Y at (0.0000, 0.0000, 0.0000), Y at (0.1598, 0.3402, 0.1355), In at (0.0000, 0.0000, 0.2500) and Rh at (0.1384, 0.3616, 0.5000).

***

[14]
An optimized crystal structure of Y2In5Rh3, computed with PBE.

The value obtained for the energy of formation is -0.562 eV per atom. Its total moment is 0.000 Bohr magnetons per cell. The volume comes out at 214 Å³/f.u. The crystal system is orthorhombic.

The space group is Cmc2_1 (No. 36) and the conventional cell measures 4.4516, 26.4445 and 7.2740 Å, with angles of 90.00, 90.00 and 90.00 degrees. The asymmetric unit holds Y at (0.0000, 0.0260, 0.0000), Y at (0.0000, 0.3241, 0.8946), In at (0.0000, 0.0974, 0.6142), In at (0.0000, 0.2063, 0.0916), In at (0.0000, 0.2087, 0.6851), In at (0.0000, 0.3738, 0.4555), In at (0.0000, 0.4466, 0.8301), Rh at (0.0000, 0.1104, 0.2324), Rh at (0.0000, 0.2700, 0.3855) and Rh at (0.0000, 0.4564, 0.2155).